Entry a
Compound: Nd4SmIn3
Source: Alexandria via LeMat-Bulk
Functional: PBE
Structure: relaxed

Results
**Crystal system**: trigonal

Unit cell a=9.776 b=9.776 c=9.776 alpha=32.82 beta=32.82 gamma=32.82
Sites, in units of the cell vectors:
Nd  0.116  0.116  0.116
Nd  0.369  0.369  0.369
Nd  0.631  0.631  0.631
Nd  0.884  0.884  0.884
Sm  0.500  0.500  0.500
In  0.000  0.000  0.000
In  0.240  0.240  0.240
In  0.760  0.760  0.760


Entry b
Compound: Nd4SmIn3
Source: Alexandria via LeMat-Bulk
Functional: PBE
Structure: relaxed

Results
**Crystal system**: tetragonal

Unit cell a=5.006 b=5.006 c=19.104 alpha=90.00 beta=90.00 gamma=90.00
Sites, in units of the cell vectors:
Nd  0.000  0.500  0.132
Nd  0.000  0.500  0.368
Nd  0.000  0.500  0.632
Nd  0.000  0.500  0.868
Nd  0.500  0.000  0.132
Nd  0.500  0.000  0.368
Nd  0.500  0.000  0.632
Nd  0.500  0.000  0.868
Sm  0.000  0.000  0.000
Sm  0.500  0.500  0.500
In  0.000  0.000  0.251
In  0.000  0.000  0.500
In  0.000  0.000  0.749
In  0.500  0.500  0.000
In  0.500  0.500  0.249
In  0.500  0.500  0.751


Most stable to least stable, the ends of the list are entry b and entry a.


Entry a
Compound: Nd4Sm3In2
Source: Alexandria via LeMat-Bulk
Functional: PBE
Structure: relaxed

Results
**Crystal system**: triclinic

Unit cell a=5.451 b=6.922 c=8.693 alpha=103.59 beta=90.05 gamma=113.18
Sites, in units of the cell vectors:
Nd  0.119  0.239  0.156
Nd  0.331  0.662  0.537
Nd  0.669  0.338  0.463
Nd  0.881  0.761  0.844
Sm  0.000  0.000  0.500
Sm  0.421  0.842  0.149
Sm  0.579  0.158  0.851
In  0.209  0.418  0.818
In  0.791  0.582  0.182


Entry b
Compound: Nd4Sm3In2
Source: Alexandria via LeMat-Bulk
Functional: PBE
Structure: relaxed

Results
**Crystal system**: monoclinic

Unit cell a=6.143 b=6.143 c=10.677 alpha=107.21 beta=107.21 gamma=46.77
Sites, in units of the cell vectors:
Nd  0.009  0.009  0.174
Nd  0.330  0.330  0.610
Nd  0.670  0.670  0.390
Nd  0.991  0.991  0.826
Sm  0.000  0.000  0.500
Sm  0.327  0.327  0.946
Sm  0.673  0.673  0.054
In  0.338  0.338  0.281
In  0.662  0.662  0.719


Most stable to least stable, the ends of the list are entry b and entry a.


Entry a
Compound: Nd7Sm4In
Source: Alexandria via LeMat-Bulk
Functional: PBE
Structure: relaxed

Results
**Crystal system**: monoclinic

Unit cell a=8.899 b=8.899 c=9.397 alpha=115.54 beta=115.54 gamma=39.82
Sites, in units of the cell vectors:
Nd  0.000  0.000  0.000
Nd  0.288  0.288  0.130
Nd  0.297  0.297  0.788
Nd  0.427  0.427  0.588
Nd  0.573  0.573  0.412
Nd  0.703  0.703  0.212
Nd  0.712  0.712  0.870
Sm  0.079  0.079  0.694
Sm  0.180  0.180  0.400
Sm  0.820  0.820  0.600
Sm  0.921  0.921  0.306
In  0.500  0.500  0.000


Entry b
Compound: Nd7Sm4In
Source: Alexandria via LeMat-Bulk
Functional: PBE
Structure: relaxed

Results
**Crystal system**: triclinic

Unit cell a=5.738 b=6.522 c=11.753 alpha=78.95 beta=75.93 gamma=89.98
Sites, in units of the cell vectors:
Nd  0.000  0.000  0.000
Nd  0.138  0.511  0.725
Nd  0.209  0.068  0.582
Nd  0.454  0.689  0.092
Nd  0.546  0.311  0.908
Nd  0.791  0.932  0.418
Nd  0.862  0.489  0.275
Sm  0.293  0.604  0.413
Sm  0.386  0.155  0.228
Sm  0.614  0.845  0.772
Sm  0.707  0.396  0.587
In  0.000  0.500  0.000


Most stable to least stable, the ends of the list are entry b and entry a.


Entry a
Compound: NdSm2In2
Source: Alexandria via LeMat-Bulk
Functional: PBE
Structure: relaxed

Results
**Crystal system**: monoclinic

Unit cell a=3.839 b=5.471 c=14.335 alpha=90.00 beta=97.72 gamma=90.00
Sites, in units of the cell vectors:
Nd  0.146  0.250  0.294
Nd  0.854  0.750  0.706
Sm  0.048  0.750  0.097
Sm  0.236  0.750  0.472
Sm  0.764  0.250  0.528
Sm  0.952  0.250  0.903
In  0.357  0.250  0.713
In  0.451  0.750  0.903
In  0.549  0.250  0.097
In  0.643  0.750  0.287


Entry b
Compound: NdSm2In2
Source: Alexandria via LeMat-Bulk
Functional: PBE
Structure: relaxed

Results
**Crystal system**: orthorhombic

Unit cell a=4.727 b=17.516 c=3.533 alpha=90.00 beta=90.00 gamma=90.00
Sites, in units of the cell vectors:
Nd  0.000  0.000  0.000
Nd  0.500  0.500  0.000
Sm  0.000  0.186  0.000
Sm  0.000  0.814  0.000
Sm  0.500  0.314  0.000
Sm  0.500  0.686  0.000
In  0.000  0.393  0.500
In  0.000  0.607  0.500
In  0.500  0.107  0.500
In  0.500  0.893  0.500


Most stable to least stable, the ends of the list are entry a and entry b.


Entry a
Compound: Nd3Sm3In2
Source: Alexandria via LeMat-Bulk
Functional: PBE
Structure: relaxed

Results
**Crystal system**: orthorhombic

Unit cell a=4.947 b=4.963 c=9.958 alpha=90.00 beta=90.00 gamma=90.00
Sites, in units of the cell vectors:
Nd  0.000  0.000  0.000
Nd  0.000  0.000  0.500
Nd  0.500  0.500  0.000
Sm  0.500  0.000  0.251
Sm  0.500  0.000  0.749
Sm  0.500  0.500  0.500
In  0.000  0.500  0.252
In  0.000  0.500  0.748


Entry b
Compound: Nd3Sm3In2
Source: Alexandria via LeMat-Bulk
Functional: PBE
Structure: relaxed

Results
**Crystal system**: orthorhombic

Unit cell a=6.666 b=6.666 c=15.939 alpha=90.00 beta=90.00 gamma=132.67
Sites, in units of the cell vectors:
Nd  0.039  0.961  0.606
Nd  0.039  0.961  0.894
Nd  0.265  0.735  0.750
Nd  0.735  0.265  0.250
Nd  0.961  0.039  0.106
Nd  0.961  0.039  0.394
Sm  0.359  0.641  0.530
Sm  0.359  0.641  0.970
Sm  0.456  0.544  0.250
Sm  0.544  0.456  0.750
Sm  0.641  0.359  0.030
Sm  0.641  0.359  0.470
In  0.225  0.775  0.141
In  0.225  0.775  0.359
In  0.775  0.225  0.641
In  0.775  0.225  0.859


Most stable to least stable, the ends of the list are entry a and entry b.


Entry a
Compound: NdSm2In4
Source: Alexandria via LeMat-Bulk
Functional: PBE
Structure: relaxed

Results
**Crystal system**: tetragonal

Unit cell a=6.023 b=6.023 c=11.728 alpha=90.00 beta=90.00 gamma=90.00
Sites, in units of the cell vectors:
Nd  0.000  0.000  0.000
Nd  0.500  0.500  0.500
Sm  0.000  0.000  0.354
Sm  0.000  0.000  0.646
Sm  0.500  0.500  0.146
Sm  0.500  0.500  0.854
In  0.000  0.500  0.000
In  0.000  0.500  0.250
In  0.000  0.500  0.500
In  0.000  0.500  0.750
In  0.500  0.000  0.000
In  0.500  0.000  0.250
In  0.500  0.000  0.500
In  0.500  0.000  0.750


Entry b
Compound: NdSm2In4
Source: Alexandria via LeMat-Bulk
Functional: PBE
Structure: relaxed

Results
**Crystal system**: monoclinic

Unit cell a=15.870 b=5.356 c=5.356 alpha=90.00 beta=109.64 gamma=90.00
Sites, in units of the cell vectors:
Nd  0.000  0.000  0.000
Nd  0.500  0.500  0.000
Sm  0.245  0.500  0.745
Sm  0.255  0.000  0.255
Sm  0.745  0.000  0.745
Sm  0.755  0.500  0.255
In  0.117  0.000  0.617
In  0.117  0.500  0.117
In  0.383  0.000  0.883
In  0.383  0.500  0.383
In  0.617  0.000  0.117
In  0.617  0.500  0.617
In  0.883  0.000  0.383
In  0.883  0.500  0.883


Most stable to least stable, the ends of the list are entry b and entry a.


Entry a
Compound: Nd4Sm5In
Source: Alexandria via LeMat-Bulk
Functional: PBE
Structure: relaxed

Results
**Crystal system**: tetragonal

Unit cell a=4.248 b=4.248 c=18.305 alpha=90.00 beta=90.00 gamma=90.00
Sites, in units of the cell vectors:
Nd  0.000  0.000  0.102
Nd  0.000  0.000  0.304
Nd  0.000  0.000  0.696
Nd  0.000  0.000  0.898
Sm  0.500  0.500  0.000
Sm  0.500  0.500  0.208
Sm  0.500  0.500  0.412
Sm  0.500  0.500  0.588
Sm  0.500  0.500  0.792
In  0.000  0.000  0.500


Entry b
Compound: Nd4Sm5In
Source: Alexandria via LeMat-Bulk
Functional: PBE
Structure: relaxed

Results
**Crystal system**: tetragonal

Unit cell a=8.197 b=8.197 c=8.197 alpha=97.69 beta=97.69 gamma=137.08
Sites, in units of the cell vectors:
Nd  0.000  0.311  0.311
Nd  0.000  0.689  0.689
Nd  0.311  0.000  0.311
Nd  0.689  0.000  0.689
Sm  0.320  0.320  0.628
Sm  0.320  0.692  0.000
Sm  0.692  0.320  0.000
Sm  0.692  0.692  0.372
Sm  0.793  0.793  0.000
In  0.274  0.274  0.000


Most stable to least stable, the ends of the list are entry a and entry b.


Entry a
Compound: Nd3SmIn3
Source: Alexandria via LeMat-Bulk
Functional: PBE
Structure: relaxed

Results
**Crystal system**: hexagonal

Unit cell a=9.670 b=9.670 c=5.243 alpha=90.00 beta=90.00 gamma=120.00
Sites, in units of the cell vectors:
Nd  0.001  0.239  0.250
Nd  0.238  0.999  0.250
Nd  0.239  0.238  0.750
Nd  0.761  0.762  0.250
Nd  0.762  0.001  0.750
Nd  0.999  0.761  0.750
Sm  0.333  0.667  0.750
Sm  0.667  0.333  0.250
In  0.070  0.613  0.250
In  0.387  0.457  0.250
In  0.457  0.070  0.750
In  0.543  0.930  0.250
In  0.613  0.543  0.750
In  0.930  0.387  0.750


Entry b
Compound: Nd3SmIn3
Source: Alexandria via LeMat-Bulk
Functional: PBE
Structure: relaxed

Results
**Crystal system**: cubic

Unit cell a=9.577 b=9.577 c=9.577 alpha=90.00 beta=90.00 gamma=90.00
Sites, in units of the cell vectors:
Nd  0.073  0.427  0.573
Nd  0.174  0.826  0.326
Nd  0.175  0.175  0.175
Nd  0.325  0.825  0.675
Nd  0.326  0.174  0.826
Nd  0.427  0.573  0.073
Nd  0.573  0.073  0.427
Nd  0.674  0.674  0.674
Nd  0.675  0.325  0.825
Nd  0.825  0.675  0.325
Nd  0.826  0.326  0.174
Nd  0.927  0.927  0.927
Sm  0.075  0.575  0.925
Sm  0.425  0.425  0.425
Sm  0.575  0.925  0.075
Sm  0.925  0.075  0.575
In  0.001  0.252  0.873
In  0.127  0.501  0.248
In  0.248  0.127  0.501
In  0.252  0.873  0.001
In  0.373  0.499  0.748
In  0.499  0.748  0.373
In  0.501  0.248  0.127
In  0.627  0.999  0.752
In  0.748  0.373  0.499
In  0.752  0.627  0.999
In  0.873  0.001  0.252
In  0.999  0.752  0.627


Most stable to least stable, the ends of the list are entry b and entry a.